Entry w
Computed, not measured: a relaxed structure of TeF at the PBE level of DFT.

Structure (POSCAR):
```
TeF
1.0
7.258 0.000 0.000
0.000 7.258 0.000
0.000 0.000 7.258
Te F
6 6
Direct
0.000 0.250 0.500
0.000 0.750 0.500
0.250 0.500 0.000
0.500 0.000 0.250
0.500 0.000 0.750
0.750 0.500 0.000
0.000 0.500 0.250
0.000 0.500 0.750
0.250 0.000 0.500
0.500 0.250 0.000
0.500 0.750 0.000
0.750 0.000 0.500
```

---

Entry x
Computed, not measured: a relaxed structure of TeF at the PBE level of DFT.

Structure (POSCAR):
```
TeF
1.0
3.196 0.000 0.000
0.000 3.197 0.000
-0.126 0.000 4.489
Te F
1 1
Direct
0.000 0.000 0.000
0.000 0.000 0.500
```

---

Relative energies, meV per atom: entry w 919; entry x 0.

---

Entry w
Computed, not measured: a relaxed structure of TiTeF3 at the PBE level of DFT.

Structure (POSCAR):
```
TiTeF3
1.0
4.226 0.000 0.000
0.000 4.226 0.000
0.000 0.000 4.226
Ti Te F
1 1 3
Direct
0.000 0.000 0.000
0.500 0.500 0.500
0.000 0.000 0.500
0.000 0.500 0.000
0.500 0.000 0.000
```

---

Entry x
Computed, not measured: a relaxed structure of TiTeF3 at the PBE level of DFT.

Structure (POSCAR):
```
TiTeF3
1.0
4.687 0.000 0.000
0.000 4.687 0.000
0.000 0.000 4.687
Ti Te F
1 1 3
Direct
0.000 0.000 0.000
0.500 0.500 0.500
0.000 0.500 0.500
0.500 0.000 0.500
0.500 0.500 0.000
```

---

Relative energies, meV per atom: entry w 0; entry x 1165.

---

Entry w
Computed, not measured: a relaxed structure of TlTe2F at the PBE level of DFT.

Structure (POSCAR):
```
TlTe2F
1.0
-5.339 5.339 2.428
5.339 -5.339 2.428
5.339 5.339 -2.428
Tl Te F
2 4 2
Direct
0.000 0.000 0.000
0.750 0.250 0.500
0.056 0.625 0.931
0.375 0.306 0.431
0.694 0.125 0.069
0.875 0.944 0.569
0.250 0.750 0.500
0.500 0.500 0.000
```

---

Entry x
Computed, not measured: a relaxed structure of TlTe2F at the PBE level of DFT.

Structure (POSCAR):
```
TlTe2F
1.0
1.640 0.947 10.363
-1.640 0.947 10.363
0.000 -1.894 10.363
Tl Te F
1 2 1
Direct
0.000 0.000 0.000
0.100 0.100 0.100
0.900 0.900 0.900
0.500 0.500 0.500
```

---

Relative energies, meV per atom: entry w 0; entry x 345.